[1]
! NbTc2Sn (PBE-GGA, relaxed); values from VASP
! * space-group type: No. 194
! * energy: -8.336 eV/atom
&SYSTEM
  ibrav = 0, nat = 8, ntyp = 3
/
ATOMIC_SPECIES
Nb 92.91 Nb.upf
Tc 98.00 Tc.upf
Sn 118.71 Sn.upf
CELL_PARAMETERS angstrom
4.6670 0.0000 0.0000
-2.3335 4.0417 0.0000
0.0000 0.0000 7.7496
ATOMIC_POSITIONS crystal
Nb 0.3333 0.6667 0.2500
Nb 0.6667 0.3333 0.7500
Tc 0.3333 0.6667 0.5865
Tc 0.3333 0.6667 0.9135
Tc 0.6667 0.3333 0.0865
Tc 0.6667 0.3333 0.4135
Sn 0.0000 0.0000 0.2500
Sn 0.0000 0.0000 0.7500

---

[2]
! LuAlTl (PBE-GGA, relaxed); values from VASP
! * space-group type: No. 216
! * relative energy among the computed polymorphs: 99 meV/atom
! * energy: -3.359 eV/atom
&SYSTEM
  ibrav = 0, nat = 3, ntyp = 3
/
ATOMIC_SPECIES
Lu 174.97 Lu.upf
Al 26.98 Al.upf
Tl 204.38 Tl.upf
CELL_PARAMETERS angstrom
0.0000 3.4714 3.4714
3.4714 0.0000 3.4714
3.4714 3.4714 0.0000
ATOMIC_POSITIONS crystal
Lu 0.0000 0.0000 0.0000
Al 0.7500 0.7500 0.7500
Tl 0.2500 0.2500 0.2500

---

[3]
! Tl4HgI6 (PBE-GGA, relaxed); values from VASP
! * space-group type: No. 128
! * energy: -2.270 eV/atom
&SYSTEM
  ibrav = 0, nat = 22, ntyp = 3
/
ATOMIC_SPECIES
Tl 204.38 Tl.upf
Hg 200.59 Hg.upf
I 126.90 I.upf
CELL_PARAMETERS angstrom
9.4620 0.0000 0.0000
0.0000 9.4620 0.0000
0.0000 0.0000 9.3374
ATOMIC_POSITIONS crystal
Tl 0.1481 0.3519 0.2500
Tl 0.1481 0.3519 0.7500
Tl 0.3519 0.8519 0.2500
Tl 0.3519 0.8519 0.7500
Tl 0.6481 0.1481 0.2500
Tl 0.6481 0.1481 0.7500
Tl 0.8519 0.6481 0.2500
Tl 0.8519 0.6481 0.7500
Hg 0.0000 0.0000 0.0000
Hg 0.5000 0.5000 0.5000
I 0.0000 0.0000 0.2936
I 0.0000 0.0000 0.7064
I 0.1418 0.6732 0.0000
I 0.1732 0.6418 0.5000
I 0.3268 0.1418 0.0000
I 0.3582 0.1732 0.5000
I 0.5000 0.5000 0.2064
I 0.5000 0.5000 0.7936
I 0.6418 0.8268 0.5000
I 0.6732 0.8582 0.0000
I 0.8268 0.3582 0.5000
I 0.8582 0.3268 0.0000

---

[4]
! ScFeB2Ir (PBE-GGA, relaxed); values from VASP
! * space-group type: No. 119
! * energy: -7.954 eV/atom
&SYSTEM
  ibrav = 0, nat = 5, ntyp = 4
/
ATOMIC_SPECIES
Sc 44.96 Sc.upf
Fe 55.84 Fe.upf
B 10.81 B.upf
Ir 192.22 Ir.upf
CELL_PARAMETERS angstrom
-1.8021 1.8021 4.4112
1.8021 -1.8021 4.4112
1.8021 1.8021 -4.4112
ATOMIC_POSITIONS crystal
Sc 0.0000 0.0000 0.0000
Fe 0.2500 0.7500 0.5000
B 0.3923 0.3923 0.0000
B 0.6077 0.6077 0.0000
Ir 0.7500 0.2500 0.5000

---

[5]
! LiSmSi2 (PBE-GGA, relaxed); values from VASP
! * space-group type: No. 62
! * energy: -4.966 eV/atom
&SYSTEM
  ibrav = 0, nat = 16, ntyp = 3
/
ATOMIC_SPECIES
Li 6.94 Li.upf
Sm 150.36 Sm.upf
Si 28.09 Si.upf
CELL_PARAMETERS angstrom
6.7358 0.0000 0.0000
0.0000 4.1578 0.0000
0.0000 0.0000 10.8554
ATOMIC_POSITIONS crystal
Li 0.1360 0.2500 0.0561
Li 0.3640 0.7500 0.5561
Li 0.6360 0.2500 0.4439
Li 0.8640 0.7500 0.9439
Sm 0.1451 0.2500 0.3469
Sm 0.3549 0.7500 0.8469
Sm 0.6451 0.2500 0.1531
Sm 0.8549 0.7500 0.6531
Si 0.0303 0.2500 0.8347
Si 0.1813 0.2500 0.6382
Si 0.3187 0.7500 0.1382
Si 0.4697 0.7500 0.3347
Si 0.5303 0.2500 0.6653
Si 0.6813 0.2500 0.8618
Si 0.8187 0.7500 0.3618
Si 0.9697 0.7500 0.1653

---

[6]
! NaMg6Au (PBE-GGA, relaxed); values from VASP
! * space-group type: No. 187
! * energy: -1.802 eV/atom
&SYSTEM
  ibrav = 0, nat = 8, ntyp = 3
/
ATOMIC_SPECIES
Na 22.99 Na.upf
Mg 24.30 Mg.upf
Au 196.97 Au.upf
CELL_PARAMETERS angstrom
6.3196 0.0000 0.0000
-3.1598 5.4729 0.0000
0.0000 0.0000 5.0011
ATOMIC_POSITIONS crystal
Na 0.0000 0.0000 0.0000
Mg 0.1680 0.3360 0.5000
Mg 0.1680 0.8320 0.5000
Mg 0.5040 0.0080 0.0000
Mg 0.5040 0.4960 0.0000
Mg 0.6640 0.8320 0.5000
Mg 0.9920 0.4960 0.0000
Au 0.6667 0.3333 0.5000

---

[7]
! Ni2HgSe5 (PBE-GGA, relaxed); values from VASP
! * space-group type: No. 123
! * energy: -3.476 eV/atom
&SYSTEM
  ibrav = 0, nat = 8, ntyp = 3
/
ATOMIC_SPECIES
Ni 58.69 Ni.upf
Hg 200.59 Hg.upf
Se 78.96 Se.upf
CELL_PARAMETERS angstrom
4.0862 0.0000 0.0000
0.0000 4.0862 0.0000
0.0000 0.0000 11.2792
ATOMIC_POSITIONS crystal
Ni 0.0000 0.0000 0.1108
Ni 0.0000 0.0000 0.8892
Hg 0.5000 0.5000 0.5000
Se 0.0000 0.0000 0.5000
Se 0.0000 0.5000 0.2052
Se 0.0000 0.5000 0.7948
Se 0.5000 0.0000 0.2052
Se 0.5000 0.0000 0.7948

---

[8]
! Rb2TcTe2S (PBE-GGA, relaxed); values from VASP
! * space-group type: No. 2
! * energy: -4.394 eV/atom
&SYSTEM
  ibrav = 0, nat = 12, ntyp = 4
/
ATOMIC_SPECIES
Rb 85.47 Rb.upf
Tc 98.00 Tc.upf
Te 127.60 Te.upf
S 32.06 S.upf
CELL_PARAMETERS angstrom
7.3940 0.0000 0.0000
2.8711 7.3205 0.0000
3.1594 1.4471 8.7102
ATOMIC_POSITIONS crystal
Rb 0.1085 0.1830 0.1415
Rb 0.3334 0.5765 0.3172
Rb 0.6666 0.4235 0.6828
Rb 0.8915 0.8170 0.8585
Tc 0.3921 0.0421 0.6473
Tc 0.6079 0.9579 0.3527
Te 0.1717 0.3604 0.7267
Te 0.3708 0.8130 0.9015
Te 0.6292 0.1870 0.0985
Te 0.8283 0.6396 0.2733
S 0.2885 0.9659 0.4800
S 0.7115 0.0341 0.5200

---

[9]
! NbCoPbAu (PBE-GGA, relaxed); values from VASP
! * space-group type: No. 216
! * relative energy among the computed polymorphs: 24 meV/atom
! * energy: -5.620 eV/atom
&SYSTEM
  ibrav = 0, nat = 4, ntyp = 4
/
ATOMIC_SPECIES
Nb 92.91 Nb.upf
Co 58.93 Co.upf
Pb 207.20 Pb.upf
Au 196.97 Au.upf
CELL_PARAMETERS angstrom
0.0000 3.2979 3.2979
3.2979 0.0000 3.2979
3.2979 3.2979 0.0000
ATOMIC_POSITIONS crystal
Nb 0.0000 0.0000 0.0000
Co 0.7500 0.7500 0.7500
Pb 0.5000 0.5000 0.5000
Au 0.2500 0.2500 0.2500

---

[10]
! HoBO3 (PBE-GGA, relaxed); values from VASP
! * space-group type: No. 194
! * energy: -8.225 eV/atom
&SYSTEM
  ibrav = 0, nat = 10, ntyp = 3
/
ATOMIC_SPECIES
Ho 164.93 Ho.upf
B 10.81 B.upf
O 16.00 O.upf
CELL_PARAMETERS angstrom
5.1837 0.0000 0.0000
-2.5918 4.4892 0.0000
0.0000 0.0000 6.2729
ATOMIC_POSITIONS crystal
Ho 0.0000 0.0000 0.0000
Ho 0.0000 0.0000 0.5000
B 0.3333 0.6667 0.2500
B 0.6667 0.3333 0.7500
O 0.1798 0.3596 0.2500
O 0.1798 0.8202 0.2500
O 0.3596 0.1798 0.7500
O 0.6404 0.8202 0.2500
O 0.8202 0.1798 0.7500
O 0.8202 0.6404 0.7500

---

[11]
! Hf2HgPt3 (PBE-GGA, relaxed); values from VASP
! * calculated formation energy: -0.89 eV per atom
! * space-group type: No. 99
! * energy: -7.288 eV/atom
&SYSTEM
  ibrav = 0, nat = 6, ntyp = 3
/
ATOMIC_SPECIES
Hf 178.49 Hf.upf
Hg 200.59 Hg.upf
Pt 195.08 Pt.upf
CELL_PARAMETERS angstrom
3.5173 0.0000 0.0000
0.0000 3.5173 0.0000
0.0000 0.0000 8.7881
ATOMIC_POSITIONS crystal
Hf 0.0000 0.0000 0.0000
Hf 0.5000 0.5000 0.4657
Hg 0.5000 0.5000 0.8045
Pt 0.0000 0.0000 0.3165
Pt 0.0000 0.0000 0.6365
Pt 0.5000 0.5000 0.1340